Entry 1:
SrRuBr2 | PBE-GGA | optimized geometry

Summary:
* energy relative to the elements, uncorrected: -0.37 eV/atom
* electronic total energy: -3.941 eV per atom
* E above lowest polymorph: 75 kJ/mol of formula units
* SG: Cmmm (65)

Unit cell a=4.059 b=5.083 c=5.087 alpha=81.09 beta=90.00 gamma=90.00
Element x y z (fractional)
Br  0.000  0.050  0.050
Sr  0.500  0.750  0.750
Ru  0.500  0.250  0.250
Br  0.000  0.450  0.450

=====

Entry 2:
SrRu2Br | PBE-GGA | optimized geometry

Summary:
* energy relative to the elements, uncorrected: 0.91 eV/atom
* electronic total energy: -4.570 eV per atom
* E above lowest polymorph: 391 kJ/mol of formula units
* SG: P4/mmm (123)

Unit cell a=3.297 b=3.297 c=7.229 alpha=90.00 beta=90.00 gamma=90.00
Element x y z (fractional)
Ru  0.000  0.000  0.950
Sr  0.500  0.500  0.250
Br  0.500  0.500  0.750
Ru  0.000  0.000  0.550

=====

Entry 3:
SrRu2Br | PBE-GGA | optimized geometry

Summary:
* energy relative to the elements, uncorrected: -0.02 eV/atom
* electronic total energy: -5.497 eV per atom
* E above lowest polymorph: 33 kJ/mol of formula units
* SG: R3m (160)

Unit cell a=7.477 b=7.477 c=7.477 alpha=30.98 beta=30.98 gamma=30.98
Element x y z (fractional)
Ru  0.972  0.972  0.972
Br  0.743  0.743  0.743
Sr  0.510  0.510  0.510
Ru  0.275  0.275  0.275

=====

Entry 4:
SrRu3Br | PBE-GGA | optimized geometry

Summary:
* energy relative to the elements, uncorrected: 2.53 eV/atom
* electronic total energy: -3.704 eV per atom
* E above lowest polymorph: 729 kJ/mol of formula units
* SG: Pm-3m (221)

Unit cell a=5.118 b=5.118 c=5.118 alpha=90.00 beta=90.00 gamma=90.00
Last column: magnetic moment on the atom in μB.
Element x y z (fractional)
Ru  0.000  0.500  0.000  2.14
Br  0.500  0.500  0.500  0.20
Sr  0.000  0.000  0.000  -0.07
Ru  0.000  0.000  0.500  1.76
Ru  0.500  0.000  0.000  2.15

=====

Entry 5:
SrRuBr2 | PBE-GGA | optimized geometry

Summary:
* energy relative to the elements, uncorrected: -0.29 eV/atom
* electronic total energy: -3.862 eV per atom
* E above lowest polymorph: 106 kJ/mol of formula units
* SG: Fm-3m (225)

Unit cell a=5.144 b=5.144 c=5.144 alpha=60.00 beta=60.00 gamma=60.00
Last column: magnetic moment on the atom in μB.
Element x y z (fractional)
Br  0.750  0.750  0.750  0.06
Br  0.250  0.250  0.250  0.06
Sr  0.000  0.000  0.000  -0.01
Ru  0.500  0.500  0.500  1.83

=====

Entry 6:
SrRu2Br | PBE-GGA | optimized geometry

Summary:
* energy relative to the elements, uncorrected: -0.11 eV/atom
* electronic total energy: -5.582 eV per atom
* E above lowest polymorph: 0 kJ/mol of formula units
* SG: P3m1 (156)

Unit cell a=4.005 b=4.005 c=7.412 alpha=90.03 beta=90.03 gamma=60.01
Element x y z (fractional)
Sr  0.458  0.458  0.533
Br  0.125  0.125  0.247
Ru  0.792  0.792  0.817
Ru  0.125  0.125  0.903

=====

Entry 7:
SrRuBr2 | PBE-GGA | optimized geometry

Summary:
* energy relative to the elements, uncorrected: -0.56 eV/atom
* electronic total energy: -4.136 eV per atom
* E above lowest polymorph: 0 kJ/mol of formula units
* SG: Immm (71)

Unit cell a=6.778 b=6.778 c=6.778 alpha=147.24 beta=135.71 gamma=56.17
Element x y z (fractional)
Ru  0.750  0.250  0.500
Br  0.606  0.606  0.000
Sr  0.250  0.750  0.500
Br  0.894  0.894  0.000

=====

Entry 8:
SrRuBr2 | PBE-GGA | optimized geometry

Summary:
* energy relative to the elements, uncorrected: -0.38 eV/atom
* electronic total energy: -3.957 eV per atom
* E above lowest polymorph: 69 kJ/mol of formula units
* SG: P4mm (99)

Unit cell a=3.581 b=3.581 c=8.638 alpha=90.00 beta=90.00 gamma=90.00
Last column: magnetic moment on the atom in μB.
Element x y z (fractional)
Ru  0.000  0.000  0.455  0.45
Sr  0.500  0.500  0.734  -0.01
Br  0.500  0.500  0.371  0.00
Br  0.000  0.000  0.940  0.00

=====

- Number 4 is which compound?
  SrRu3Br

=====

- The highest electronic total energy belongs to which entry?
  SrRu3Br

=====

Repeat the eighth record exactly.
SrRuBr2 | PBE-GGA | optimized geometry

Summary:
* energy relative to the elements, uncorrected: -0.38 eV/atom
* electronic total energy: -3.957 eV per atom
* E above lowest polymorph: 69 kJ/mol of formula units
* SG: P4mm (99)

Unit cell a=3.581 b=3.581 c=8.638 alpha=90.00 beta=90.00 gamma=90.00
Last column: magnetic moment on the atom in μB.
Element x y z (fractional)
Ru  0.000  0.000  0.455  0.45
Sr  0.500  0.500  0.734  -0.01
Br  0.500  0.500  0.371  0.00
Br  0.000  0.000  0.940  0.00